1.
# Ba2UPt2S6

Crystalline Ba2UPt2S6 at its relaxed geometry (PBE, Alexandria).

Calculated values
- space-group type = C2/m (12)
- energy (eV per atom) = -5.87
- energy relative to the elements, uncorrected (eV per atom) = -1.15
- M_tot (μB per formula unit) = 0.002

abc: 6.8059 7.4407 7.7082
angles: 120.52 90.00 117.22
Element x y z (fractional)
Ba 0.7269 0.4539 0.2187
Ba 0.2731 0.5461 0.7813
U 0.5000 0.0000 0.5000
Pt 0.9275 0.8550 0.7578
Pt 0.0725 0.1450 0.2422
S 0.7277 0.4553 0.6399
S 0.1824 0.8798 0.2099
S 0.3026 0.1202 0.7901
S 0.8176 0.1202 0.7901
S 0.6974 0.8798 0.2099
S 0.2723 0.5447 0.3601

---

2.
# BaPtW2S8

Crystalline BaPtW2S8 at its relaxed geometry (PBE, Alexandria).

Calculated values
- space-group type = R-3 (148)
- energy (eV per atom) = -6.19
- energy relative to the elements, uncorrected (eV per atom) = -0.62
- M_tot (μB per formula unit) = 0.000

abc: 6.0869 6.0869 9.6092
angles: 71.54 71.54 60.00
Element x y z (fractional)
Ba 0.5000 0.5000 0.5000
Pt 0.0000 0.0000 0.0000
W 0.2531 0.2531 0.2407
W 0.7469 0.7469 0.7593
S 0.1708 0.1708 0.4877
S 0.6229 0.2838 0.1600
S 0.8292 0.8292 0.5123
S 0.9333 0.6229 0.1600
S 0.0667 0.3771 0.8400
S 0.2838 0.9333 0.1600
S 0.7162 0.0667 0.8400
S 0.3771 0.7162 0.8400

---

3.
# BaSb2Pt

Crystalline BaSb2Pt at its relaxed geometry (PBE, Alexandria).

Calculated values
- space-group type = Cm (8)
- energy (eV per atom) = -4.66
- energy relative to the elements, uncorrected (eV per atom) = -0.60
- M_tot (μB per formula unit) = 0.000

abc: 5.5221 5.5221 6.2213
angles: 67.18 67.18 46.28
Element x y z (fractional)
Ba 0.4628 0.4628 0.5078
Pt 0.7156 0.7156 0.9229
Sb 0.0477 0.0477 0.9334
Sb 0.2738 0.2738 0.1359

---

4.
# Ba12Sb3Pt5

Crystalline Ba12Sb3Pt5 at its relaxed geometry (PBE, Alexandria).

Calculated values
- space-group type = Ia-3d (230)
- energy (eV per atom) = -3.95
- energy relative to the elements, uncorrected (eV per atom) = -0.66
- M_tot (μB per formula unit) = 0.000

abc: 16.7809 16.7809 16.7809
angles: 109.47 109.47 109.47
Element x y z (fractional)
Sb 0.7500 0.3750 0.1250
Sb 0.8750 0.7500 0.1250
Sb 0.3750 0.7500 0.6250
Sb 0.2500 0.1250 0.3750
Sb 0.8750 0.1250 0.2500
Sb 0.3750 0.6250 0.2500
Sb 0.6250 0.3750 0.7500
Sb 0.1250 0.8750 0.7500
Sb 0.7500 0.8750 0.6250
Sb 0.6250 0.2500 0.3750
Sb 0.1250 0.2500 0.8750
Sb 0.2500 0.6250 0.8750
Pt 0.1250 0.3750 0.2500
Pt 0.0000 0.5000 0.0000
Pt 0.0000 0.0000 0.0000
Pt 0.3750 0.2500 0.1250
Pt 0.5000 0.0000 0.5000
Pt 0.5000 0.5000 0.0000
Pt 0.1250 0.7500 0.3750
Pt 0.7500 0.1250 0.8750
Pt 0.7500 0.6250 0.3750
Pt 0.3750 0.1250 0.7500
Pt 0.6250 0.8750 0.2500
Pt 0.5000 0.5000 0.5000
Pt 0.5000 0.0000 0.0000
Pt 0.0000 0.0000 0.5000
Pt 0.2500 0.3750 0.6250
Pt 0.2500 0.8750 0.1250
Pt 0.0000 0.5000 0.5000
Pt 0.8750 0.2500 0.6250
Pt 0.6250 0.7500 0.8750
Pt 0.8750 0.6250 0.7500
Ba 0.7123 0.1253 0.0362
Ba 0.3240 0.5362 0.4109
Ba 0.9638 0.3747 0.2877
Ba 0.5362 0.2123 0.1253
Ba 0.5870 0.7123 0.6760
Ba 0.9638 0.5891 0.1760
Ba 0.3240 0.7877 0.4130
Ba 0.0891 0.9130 0.1253
Ba 0.5891 0.9638 0.6760
Ba 0.7123 0.5870 0.1760
Ba 0.7877 0.4638 0.3747
Ba 0.8240 0.9109 0.0362
Ba 0.1253 0.7123 0.5362
Ba 0.3747 0.4109 0.0870
Ba 0.0870 0.9109 0.3747
Ba 0.4130 0.1253 0.5891
Ba 0.0870 0.1760 0.2123
Ba 0.4638 0.6760 0.0891
Ba 0.8240 0.9130 0.2877
Ba 0.1253 0.4130 0.0891
Ba 0.3747 0.9638 0.7877
Ba 0.5891 0.6253 0.4130
Ba 0.9109 0.8240 0.5362
Ba 0.7877 0.3240 0.9130
Ba 0.4109 0.3747 0.5870
Ba 0.0891 0.1760 0.4638
Ba 0.2123 0.6760 0.0870
Ba 0.1760 0.0870 0.7123
Ba 0.6253 0.0362 0.2123
Ba 0.8747 0.5870 0.9109
Ba 0.5362 0.3240 0.9109
Ba 0.5870 0.8747 0.4109
Ba 0.9130 0.8240 0.7877
Ba 0.9130 0.0891 0.6253
Ba 0.8747 0.2877 0.4638
Ba 0.1760 0.0891 0.9638
Ba 0.6253 0.5891 0.9130
Ba 0.4109 0.0362 0.3240
Ba 0.2877 0.4130 0.8240
Ba 0.2123 0.5362 0.6253
Ba 0.9109 0.0870 0.8747
Ba 0.6760 0.2123 0.5870
Ba 0.4638 0.7877 0.8747
Ba 0.0362 0.4109 0.8240
Ba 0.4130 0.2877 0.3240
Ba 0.0362 0.6253 0.7123
Ba 0.6760 0.4638 0.5891
Ba 0.2877 0.8747 0.9638

---

5.
# Ba2SbPt

Crystalline Ba2SbPt at its relaxed geometry (PBE, Alexandria).

Calculated values
- space-group type = P4/mmm (123)
- energy (eV per atom) = -4.18
- energy relative to the elements, uncorrected (eV per atom) = -0.68
- M_tot (μB per formula unit) = 0.000

abc: 5.9481 5.9475 3.8210
angles: 90.00 90.00 90.00
Element x y z (fractional)
Ba 0.0000 0.0000 0.0000
Ba 0.5000 0.5000 0.0000
Pt 0.5000 0.0000 0.5000
Sb 0.0000 0.5000 0.5000

---

6.
# BaSb12Pt4

Crystalline BaSb12Pt4 at its relaxed geometry (PBE, Alexandria).

Calculated values
- space-group type = Im-3 (204)
- energy (eV per atom) = -4.83
- energy relative to the elements, uncorrected (eV per atom) = -0.39
- M_tot (μB per formula unit) = 0.000

abc: 8.3851 8.3851 8.3851
angles: 109.47 109.47 109.47
Element x y z (fractional)
Ba 0.0000 0.0000 0.0000
Sb 0.8431 0.3449 0.1880
Sb 0.3449 0.5017 0.1569
Sb 0.8120 0.1569 0.6551
Sb 0.3449 0.1880 0.8431
Sb 0.1880 0.8431 0.3449
Sb 0.6551 0.4983 0.8431
Sb 0.5017 0.1569 0.3449
Sb 0.4983 0.8431 0.6551
Sb 0.6551 0.8120 0.1569
Sb 0.8431 0.6551 0.4983
Sb 0.1569 0.3449 0.5017
Sb 0.1569 0.6551 0.8120
Pt 0.0000 0.5000 0.0000
Pt 0.5000 0.0000 0.0000
Pt 0.5000 0.5000 0.5000
Pt 0.0000 0.0000 0.5000

---

7.
# BaSb2Pt

Crystalline BaSb2Pt at its relaxed geometry (PBE, Alexandria).

Calculated values
- space-group type = P4/mmm (123)
- energy (eV per atom) = -4.34
- energy relative to the elements, uncorrected (eV per atom) = -0.29
- M_tot (μB per formula unit) = 0.007

abc: 3.7524 3.7498 7.6990
angles: 90.00 90.00 90.00
Element x y z (fractional)
Ba 0.5000 0.5000 0.2500
Pt 0.5000 0.5000 0.7500
Sb 0.0000 0.0000 0.9306
Sb 0.0000 0.0000 0.5694

---

8.
# Ba3Sb4Pt2

Crystalline Ba3Sb4Pt2 at its relaxed geometry (PBE, Alexandria).

Calculated values
- space-group type = C2/m (12)
- energy (eV per atom) = -4.70
- energy relative to the elements, uncorrected (eV per atom) = -0.88
- M_tot (μB per formula unit) = 0.000

abc: 4.8328 6.8115 9.5084
angles: 96.33 90.00 110.78
Element x y z (fractional)
Ba 0.6628 0.3256 0.6603
Ba 0.0000 0.0000 0.0000
Ba 0.3372 0.6744 0.3397
Sb 0.7101 0.4202 0.0679
Sb 0.2899 0.5798 0.9321
Sb 0.9462 0.8923 0.6319
Sb 0.0538 0.1077 0.3681
Pt 0.6142 0.2284 0.2980
Pt 0.3858 0.7716 0.7020

---

9.
# BaSbPt

Crystalline BaSbPt at its relaxed geometry (PBE, Alexandria).

Calculated values
- space-group type = P2_1/c (14)
- energy (eV per atom) = -4.95
- energy relative to the elements, uncorrected (eV per atom) = -0.92
- M_tot (μB per formula unit) = 0.000

abc: 7.5823 6.8016 7.6576
angles: 68.44 90.00 90.00
Element x y z (fractional)
Ba 0.8624 0.8134 0.8915
Ba 0.3624 0.6866 0.6085
Ba 0.1376 0.1866 0.1085
Ba 0.6376 0.3134 0.3915
Sb 0.8309 0.8001 0.4320
Sb 0.3309 0.6999 0.0680
Sb 0.1691 0.1999 0.5680
Sb 0.6691 0.3001 0.9320
Pt 0.5888 0.9004 0.1711
Pt 0.0888 0.5996 0.3289
Pt 0.4112 0.0996 0.8289
Pt 0.9112 0.4004 0.6711

---

10.
# Ba2Sb3Pt2

Crystalline Ba2Sb3Pt2 at its relaxed geometry (PBE, Alexandria).

Calculated values
- space-group type = C2/m (12)
- energy (eV per atom) = -4.74
- energy relative to the elements, uncorrected (eV per atom) = -0.70
- M_tot (μB per formula unit) = 0.000

abc: 4.6805 6.3766 7.6788
angles: 109.05 90.00 111.53
Element x y z (fractional)
Ba 0.8494 0.6989 0.2037
Ba 0.1506 0.3011 0.7963
Sb 0.5000 0.0000 0.0000
Sb 0.6274 0.2548 0.4484
Sb 0.3726 0.7452 0.5516
Pt 0.8580 0.7159 0.7128
Pt 0.1420 0.2841 0.2872

---

11.
# BaSb2Pt

Crystalline BaSb2Pt at its relaxed geometry (PBE, Alexandria).

Calculated values
- space-group type = C2/m (12)
- energy (eV per atom) = -4.11
- energy relative to the elements, uncorrected (eV per atom) = -0.06
- M_tot (μB per formula unit) = 0.000

abc: 6.6790 6.1423 3.2692
angles: 84.01 72.69 117.68
Element x y z (fractional)
Ba 0.0000 0.5000 0.5000
Pt 0.5000 0.5000 0.0000
Sb 0.0000 0.0000 0.0000
Sb 0.5000 0.0000 0.5000

---

12.
# BaSb2Pt

Crystalline BaSb2Pt at its relaxed geometry (PBE, Alexandria).

Calculated values
- space-group type = P4mm (99)
- energy (eV per atom) = -4.44
- energy relative to the elements, uncorrected (eV per atom) = -0.38
- M_tot (μB per formula unit) = 0.000

abc: 3.8295 3.8295 7.6335
angles: 90.00 90.00 90.00
Element x y z (fractional)
Ba 0.0000 0.0000 0.5111
Pt 0.5000 0.5000 0.8336
Sb 0.0000 0.0000 0.9575
Sb 0.5000 0.5000 0.1978

---

13.
# Ba2Sb3Pt

Crystalline Ba2Sb3Pt at its relaxed geometry (PBE, Alexandria).

Calculated values
- space-group type = Fmmm (69)
- energy (eV per atom) = -4.51
- energy relative to the elements, uncorrected (eV per atom) = -0.80
- M_tot (μB per formula unit) = 0.000

abc: 7.0990 7.0990 9.4595
angles: 111.08 111.08 92.37
Element x y z (fractional)
Ba 0.2500 0.7500 0.5000
Ba 0.7591 0.7591 0.0000
Ba 0.7500 0.2500 0.5000
Ba 0.2409 0.2409 0.0000
Sb 0.6285 0.1941 0.8226
Sb 0.8059 0.3715 0.1774
Sb 0.3715 0.8059 0.1774
Sb 0.1941 0.6285 0.8226
Sb 0.8373 0.8373 0.6745
Sb 0.1627 0.1627 0.3255
Pt 0.3239 0.3239 0.6478
Pt 0.6761 0.6761 0.3522

---

14.
# BaSb2Pt

Crystalline BaSb2Pt at its relaxed geometry (PBE, Alexandria).

Calculated values
- space-group type = Immm (71)
- energy (eV per atom) = -4.63
- energy relative to the elements, uncorrected (eV per atom) = -0.58
- M_tot (μB per formula unit) = 0.000

abc: 5.8318 5.8318 5.8318
angles: 136.61 110.85 85.26
Element x y z (fractional)
Ba 0.7500 0.2500 0.5000
Pt 0.2500 0.7500 0.5000
Sb 0.0668 0.0668 0.0000
Sb 0.4332 0.4332 0.0000

---

15.
# Ba6SbPt3

Crystalline Ba6SbPt3 at its relaxed geometry (PBE, Alexandria).

Calculated values
- space-group type = P2_1/m (11)
- energy (eV per atom) = -4.12
- energy relative to the elements, uncorrected (eV per atom) = -0.75
- M_tot (μB per formula unit) = 0.000

abc: 4.7709 13.4444 13.0495
angles: 108.44 90.00 90.00
Element x y z (fractional)
Ba 0.2500 0.3917 0.5306
Ba 0.7500 0.6083 0.4694
Ba 0.2500 0.9089 0.0783
Ba 0.7500 0.0911 0.9217
Ba 0.2500 0.9409 0.6041
Ba 0.7500 0.0591 0.3959
Ba 0.2500 0.7347 0.2763
Ba 0.7500 0.2653 0.7237
Ba 0.2500 0.5371 0.8733
Ba 0.7500 0.4629 0.1267
Ba 0.2500 0.2426 0.2050
Ba 0.7500 0.7574 0.7950
Sb 0.2500 0.3013 0.9491
Sb 0.7500 0.6987 0.0509
Pt 0.2500 0.1640 0.5541
Pt 0.7500 0.8360 0.4459
Pt 0.2500 0.5014 0.3148
Pt 0.7500 0.4986 0.6852
Pt 0.2500 0.9165 0.8415
Pt 0.7500 0.0835 0.1585

---

16.
# Ba2SbPt

Crystalline Ba2SbPt at its relaxed geometry (PBE, Alexandria).

Calculated values
- space-group type = F-43m (216)
- energy (eV per atom) = -3.92
- energy relative to the elements, uncorrected (eV per atom) = -0.42
- M_tot (μB per formula unit) = 0.000

abc: 5.5563 5.5563 5.5563
angles: 60.00 60.00 60.00
Element x y z (fractional)
Ba 0.0000 0.0000 0.0000
Ba 0.2500 0.2500 0.2500
Pt 0.5000 0.5000 0.5000
Sb 0.7500 0.7500 0.7500

---

17.
# Ba2SbPt

Crystalline Ba2SbPt at its relaxed geometry (PBE, Alexandria).

Calculated values
- space-group type = Cmmm (65)
- energy (eV per atom) = -4.18
- energy relative to the elements, uncorrected (eV per atom) = -0.67
- M_tot (μB per formula unit) = 0.000

abc: 5.6455 5.6455 4.2214
angles: 90.03 90.03 82.14
Element x y z (fractional)
Ba 0.0000 0.0000 0.0000
Ba 0.5000 0.5000 0.0000
Pt 0.5000 0.0000 0.5000
Sb 0.0000 0.5000 0.5000

---

18.
# Ba3Sb3Pt2

Crystalline Ba3Sb3Pt2 at its relaxed geometry (PBE, Alexandria).

Calculated values
- space-group type = Cmcm (63)
- energy (eV per atom) = -4.68
- energy relative to the elements, uncorrected (eV per atom) = -0.91
- M_tot (μB per formula unit) = 0.000

abc: 4.7375 6.7769 16.5764
angles: 90.00 90.00 110.46
Element x y z (fractional)
Ba 0.9264 0.8529 0.3952
Ba 0.0736 0.1471 0.8952
Ba 0.9264 0.8529 0.1048
Ba 0.0736 0.1471 0.6048
Ba 0.6386 0.2772 0.2500
Ba 0.3614 0.7228 0.7500
Sb 0.6564 0.3129 0.4609
Sb 0.3436 0.6871 0.9609
Sb 0.6564 0.3129 0.0391
Sb 0.3436 0.6871 0.5391
Sb 0.3331 0.6663 0.2500
Sb 0.6669 0.3337 0.7500
Pt 0.7777 0.5554 0.8989
Pt 0.2223 0.4446 0.3989
Pt 0.7777 0.5554 0.6011
Pt 0.2223 0.4446 0.1011

---

19.
# BaSb2Pt

Crystalline BaSb2Pt at its relaxed geometry (PBE, Alexandria).

Calculated values
- space-group type = Pm (6)
- energy (eV per atom) = -4.67
- energy relative to the elements, uncorrected (eV per atom) = -0.62
- M_tot (μB per formula unit) = 0.000

abc: 4.8566 5.5254 4.8879
angles: 90.19 90.00 90.00
Element x y z (fractional)
Ba 0.0000 0.4518 0.4089
Pt 0.5000 0.1437 0.8329
Sb 0.0000 0.9512 0.9158
Sb 0.5000 0.9533 0.3423

---

20.
# BaSb4Pt4

Crystalline BaSb4Pt4 at its relaxed geometry (PBE, Alexandria).

Calculated values
- space-group type = P4_2/n (86)
- energy (eV per atom) = -5.27
- energy relative to the elements, uncorrected (eV per atom) = -0.54
- M_tot (μB per formula unit) = 0.000

abc: 5.1049 9.5155 9.5155
angles: 90.00 90.00 90.00
Element x y z (fractional)
Ba 0.0000 0.0000 0.0000
Ba 0.5000 0.5000 0.5000
Sb 0.4061 0.3532 0.8633
Sb 0.9061 0.6367 0.8532
Sb 0.4061 0.6468 0.1367
Sb 0.0939 0.1468 0.6367
Sb 0.5939 0.8633 0.6468
Sb 0.0939 0.8532 0.3633
Sb 0.9061 0.3633 0.1468
Sb 0.5939 0.1367 0.3532
Pt 0.5980 0.8716 0.2739
Pt 0.5980 0.1284 0.7261
Pt 0.0980 0.7739 0.6284
Pt 0.9020 0.3716 0.7739
Pt 0.9020 0.6284 0.2261
Pt 0.4020 0.2739 0.1284
Pt 0.4020 0.7261 0.8716
Pt 0.0980 0.2261 0.3716